ZnCo2Ni after structural relaxation. Source: Alexandria, functional PBEsol.

Properties
Energy (eV per atom): -5.81

Geometry as CIF:
```
data_ZnCo2Ni
_chemical_formula_sum 'Zn2 Co4 Ni2'
_cell_length_a 3.5769
_cell_length_b 3.5769
_cell_length_c 6.8260
_cell_angle_alpha 90.00
_cell_angle_beta 90.00
_cell_angle_gamma 90.00
_symmetry_space_group_name_H-M 'I -4 m 2'
_symmetry_Int_Tables_number 119
_symmetry_space_group_name_Hall 'I -4 -2'
loop_
_atom_site_label
_atom_site_fract_x
_atom_site_fract_y
_atom_site_fract_z
_atom_site_occupancy
Zn1 0.0000 0.0000 0.0000 1
Co1 0.0000 0.0000 0.5000 1
Co2 0.0000 0.5000 0.7500 1
Ni1 0.0000 0.5000 0.2500 1
```